ZrIn2Pb2 | PBE | relaxed

Computed properties:
Calculated volume (Å³ per cell): 272
E_tot (eV per atom): -4.097

Unit cell a=7.954 b=7.954 c=4.303 alpha=90.00 beta=90.00 gamma=90.00
Sites, in units of the cell vectors:
Zr 0.000 0.000 0.000
Zr 0.500 0.500 0.000
In 0.135 0.365 0.000
In 0.365 0.865 0.000
In 0.635 0.135 0.000
In 0.865 0.635 0.000
Pb 0.170 0.670 0.500
Pb 0.330 0.170 0.500
Pb 0.670 0.830 0.500
Pb 0.830 0.330 0.500